No. 1
A geometry-optimized Zr2TaCd structure, computed with PBE-GGA.

Output
Calculated volume   83 Å³ per cell
Energy   -7.229 eV/atom
SG   F-43m

Unit cell a=4.8992 b=4.8992 c=4.8992 alpha=60.00 beta=60.00 gamma=60.00
Closest atoms and distances in Å follow each position.
Positions (direct):
Zr  0.0000  0.0000  0.0000  4 Cd 3.00, 4 Zr 3.00
Zr  0.2500  0.2500  0.2500  4 Zr 3.00, 4 Ta 3.00
Ta  0.5000  0.5000  0.5000  4 Cd 3.00, 4 Zr 3.00
Cd  0.7500  0.7500  0.7500  4 Zr 3.00, 4 Ta 3.00

***

No. 2
A geometry-optimized ZrTaCd2 structure, computed with PBE-GGA.

Output
Calculated volume   81 Å³ per cell
Distance to the lowest polymorph of the same formula   109 meV per atom
Energy   -5.404 eV/atom
SG   I4/mmm

Unit cell a=5.3586 b=5.3586 c=5.3586 alpha=132.89 beta=132.89 gamma=68.83
Closest atoms and distances in Å follow each position.
Positions (direct):
Zr  0.0000  0.0000  0.0000  4 Ta 3.03, 8 Cd 3.08
Ta  0.5000  0.5000  0.0000  4 Zr 3.03, 8 Cd 3.08
Cd  0.2500  0.7500  0.5000  4 Cd 3.03, 4 Zr 3.08, 4 Ta 3.08
Cd  0.7500  0.2500  0.5000  4 Cd 3.03, 4 Zr 3.08, 4 Ta 3.08

***

No. 3
A geometry-optimized ZrTaCd2 structure, computed with PBE-GGA.

Output
Calculated volume   82 Å³ per cell
Distance to the lowest polymorph of the same formula   273 meV per atom
Energy   -5.240 eV/atom
SG   Fm-3m

Unit cell a=4.8705 b=4.8705 c=4.8705 alpha=60.00 beta=60.00 gamma=60.00
Closest atoms and distances in Å follow each position.
Positions (direct):
Zr  0.0000  0.0000  0.0000  8 Cd 2.98
Ta  0.5000  0.5000  0.5000  8 Cd 2.98
Cd  0.2500  0.2500  0.2500  4 Ta 2.98, 4 Zr 2.98
Cd  0.7500  0.7500  0.7500  4 Ta 2.98, 4 Zr 2.98

***

No. 4
A geometry-optimized ZrTaCd structure, computed with PBE-GGA.

Output
Calculated volume   125 Å³ per cell
Distance to the lowest polymorph of the same formula   362 meV per atom
Energy   -6.774 eV/atom
SG   Fmmm

Unit cell a=6.8210 b=5.5935 c=5.4498 alpha=76.28 beta=52.81 gamma=50.91
Closest atoms and distances in Å follow each position.
Positions (direct):
Zr  0.1505  0.8495  0.1505  1 Zr 2.85, 4 Cd 2.95
Zr  0.8495  0.1505  0.8495  1 Zr 2.85, 4 Cd 2.95
Ta  0.3623  0.3623  0.6377  1 Ta 2.70, 4 Cd 2.94
Ta  0.6377  0.6377  0.3623  1 Ta 2.70, 4 Cd 2.94
Cd  0.2500  0.2500  0.2500  2 Cd 2.69, 4 Ta 2.94, 4 Zr 2.95
Cd  0.7500  0.7500  0.7500  2 Cd 2.69, 4 Ta 2.94, 4 Zr 2.95

***

No. 5
A geometry-optimized Zr2TaCd structure, computed with PBE-GGA.

Output
Calculated volume   85 Å³ per cell
Energy   -7.382 eV/atom
SG   Pm

Unit cell a=3.0195 b=5.1966 c=5.4045 alpha=90.00 beta=91.57 gamma=90.00
Closest atoms and distances in Å follow each position.
Positions (direct):
Zr  0.0000  0.0000  0.0000  4 Zr 3.02-3.30, 4 Ta 3.02-3.18, 4 Cd 3.07-3.14
Zr  0.0594  0.5000  0.6252  4 Cd 3.01-3.25, 4 Zr 3.02-3.30, 4 Ta 3.05-3.12
Ta  0.5291  0.0000  0.4990  2 Ta 3.02, 8 Zr 3.02-3.18, 2 Cd 3.24
Cd  0.5309  0.5000  0.1409  8 Zr 3.01-3.25, 2 Cd 3.02, 2 Ta 3.24

***

No. 6
A geometry-optimized ZrTaCd2 structure, computed with PBE-GGA.

Output
Calculated volume   81 Å³ per cell
Distance to the lowest polymorph of the same formula   94 meV per atom
Energy   -5.419 eV/atom
SG   P2/m

Unit cell a=2.9988 b=4.4316 c=6.0874 alpha=90.00 beta=90.12 gamma=90.00
Closest atoms and distances in Å follow each position.
Positions (direct):
Zr  0.0000  0.0000  0.0000  2 Zr 3.00, 2 Ta 3.04, 8 Cd 3.10
Ta  0.0000  0.0000  0.5000  2 Ta 3.00, 2 Zr 3.04, 8 Cd 3.05-3.06
Cd  0.4992  0.5000  0.7416  4 Cd 2.94-3.15, 4 Ta 3.05-3.06, 4 Zr 3.10
Cd  0.5008  0.5000  0.2584  4 Cd 2.94-3.15, 4 Ta 3.05-3.06, 4 Zr 3.10

***

No. 7
A geometry-optimized ZrTaCd3 structure, computed with PBE-GGA.

Output
Calculated volume   140 Å³ per cell
Distance to the lowest polymorph of the same formula   0 meV per atom
Energy   -3.331 eV/atom
SG   Pm-3m

Unit cell a=5.1933 b=5.1933 c=5.1933 alpha=90.00 beta=90.00 gamma=90.00
Closest atoms and distances in Å follow each position.
Positions (direct):
Zr  0.0000  0.0000  0.0000  12 Cd 3.67
Ta  0.5000  0.5000  0.5000  6 Cd 2.60
Cd  0.0000  0.5000  0.5000  2 Ta 2.60
Cd  0.5000  0.0000  0.5000  2 Ta 2.60
Cd  0.5000  0.5000  0.0000  2 Ta 2.60

***

No. 8
A geometry-optimized ZrTaCd structure, computed with PBE-GGA.

Output
Calculated volume   62 Å³ per cell
Distance to the lowest polymorph of the same formula   240 meV per atom
Energy   -6.896 eV/atom
SG   P3m1

Unit cell a=2.9910 b=2.9910 c=7.9887 alpha=90.00 beta=90.00 gamma=120.00
Closest atoms and distances in Å follow each position.
Positions (direct):
Zr  0.0000  0.0000  0.0000  6 Zr 2.99, 3 Ta 3.19, 3 Cd 3.23
Ta  0.3333  0.6667  0.6644  6 Ta 2.99, 3 Cd 3.11, 3 Zr 3.19
Cd  0.6667  0.3333  0.3414  6 Cd 2.99, 3 Ta 3.11, 3 Zr 3.23

***

In order of appearance, energy of formation from the pure elements = 0.237 0.154 0.318 0.331 0.084 0.139 1.299 0.209 eV per atom.